[1]
The following is a DFT calculation (PBE-GGA) of PuInGaNi after structural relaxation.

Properties
ΔH_f (0 K) = -0.159 eV/atom
E = -106.06 eV/cell
D(E_F) = 40.8 states/eV per cell

a b c (Å): 6.749 6.749 6.749
angles (deg): 90.00 90.00 90.00
Space group F-43m (No. 216)
Asymmetric unit:
Pu 0.000 0.000 0.000 (multiplicity 4)
In 0.000 0.000 0.500 (multiplicity 4)
Ga 0.250 0.250 0.250 (multiplicity 4)
Ni 0.250 0.250 0.750 (multiplicity 4)

***

[2]
The following is a DFT calculation (PBE-GGA) of CaP3Pd7 after structural relaxation.

Properties
ΔH_f (0 K) = -0.529 eV/atom
E = -362.41 eV/cell
D(E_F) = 43.7 states/eV per cell

a b c (Å): 7.5371 7.5371 21.1170
angles (deg): 90.00 90.00 120.00
Space group R-3c (No. 167, hexagonal axes)
Asymmetric unit:
Ca 0.0000 0.0000 0.0000 (multiplicity 6)
P 0.0000 0.3244 0.2500 (multiplicity 18)
Pd 0.0000 0.0000 0.2500 (multiplicity 6)
Pd 0.0231 0.2339 0.1406 (multiplicity 36)

***

[3]
The following is a DFT calculation (PBE-GGA) of HfPbSeBr2 after structural relaxation.

Properties
uncorrected formation energy = -0.494 eV per atom
E = -22.96 eV/cell
D(E_F) = 4.5 states/eV per cell
polymorph energy (0 for the lowest one) = 0.0 meV per atom

a b c (Å): 5.408 5.408 5.384
angles (deg): 90.00 90.00 90.00
Space group P4/mmm (No. 123)
Asymmetric unit:
Hf 0.000 0.000 0.000 (multiplicity 1)
Pb 0.500 0.500 0.500 (multiplicity 1)
Se 0.000 0.000 0.500 (multiplicity 1)
Br 0.000 0.500 0.000 (multiplicity 2)

***

[4]
The following is a DFT calculation (PBE-GGA) of Al8ZnRh2 after structural relaxation.

Properties
ΔH_f (0 K) = -0.326 eV/atom
E = -99.02 eV/cell
D(E_F) = 6.5 states/eV per cell
polymorph energy (0 for the lowest one) = 124.6 meV per atom

a b c (Å): 11.281 6.801 5.009
angles (deg): 90.00 101.04 90.00
Space group C2/m (No. 12)
Asymmetric unit:
Al 0.087 0.000 0.364 (multiplicity 4)
Al 0.106 0.207 0.897 (multiplicity 8)
Al 0.196 0.500 0.294 (multiplicity 4)
Zn 0.000 0.500 0.500 (multiplicity 2)
Rh 0.220 0.500 0.804 (multiplicity 4)

***

[5]
The following is a DFT calculation (PBE-GGA) of Cd2TeP after structural relaxation.

Properties
uncorrected formation energy = 0.354 eV per atom
E = -17.93 eV/cell
D(E_F) = 4.1 states/eV per cell
polymorph energy (0 for the lowest one) = 420.6 meV per atom

a b c (Å): 4.042 4.720 10.148
angles (deg): 90.00 90.00 90.00
Space group Cmm2 (No. 35)
Asymmetric unit:
Cd 0.000 0.000 0.000 (multiplicity 2)
Cd 0.000 0.500 0.234 (multiplicity 2)
Te 0.000 0.000 0.502 (multiplicity 2)
P 0.000 0.500 0.820 (multiplicity 2)

***

[6]
The following is a DFT calculation (PBE-GGA) of Ba2CdAu3 after structural relaxation.

Properties
ΔH_f (0 K) = -0.640 eV/atom
E = -147.46 eV/cell
D(E_F) = 26.4 states/eV per cell

a b c (Å): 8.674 9.878 17.001
angles (deg): 90.00 90.00 90.00
Space group Fmmm (No. 69)
Asymmetric unit:
Ba 0.244 0.000 0.000 (multiplicity 8)
Ba 0.250 0.250 0.250 (multiplicity 8)
Cd 0.000 0.000 0.334 (multiplicity 8)
Au 0.000 0.000 0.167 (multiplicity 8)
Au 0.000 0.248 0.416 (multiplicity 16)

***

[7]
The following is a DFT calculation (PBE-GGA) of KLiAgF6 after structural relaxation.

Properties
uncorrected formation energy = -1.810 eV per atom
E = -66.76 eV/cell
D(E_F) = 1.7 states/eV per cell

a b c (Å): 5.524 9.171 5.817
angles (deg): 90.00 90.95 90.00
Space group C2 (No. 5)
Asymmetric unit:
K 0.000 0.000 0.000 (multiplicity 2)
Li 0.000 0.680 0.500 (multiplicity 2)
Ag 0.000 0.337 0.500 (multiplicity 2)
F 0.133 0.497 0.689 (multiplicity 4)
F 0.171 0.190 0.688 (multiplicity 4)
F 0.182 0.813 0.705 (multiplicity 4)

***

[8]
The following is a DFT calculation (PBE-GGA) of K2ZnIr after structural relaxation.

Properties
ΔH_f (0 K) = 0.246 eV/atom
E = -11.35 eV/cell
D(E_F) = 2.2 states/eV per cell

a b c (Å): 3.250 3.797 9.874
angles (deg): 90.00 90.00 90.00
Space group Pmm2 (No. 25)
Asymmetric unit:
K 0.000 0.000 0.000 (multiplicity 1)
K 0.500 0.500 0.431 (multiplicity 1)
Zn 0.000 0.000 0.694 (multiplicity 1)
Ir 0.500 0.500 0.743 (multiplicity 1)

***

[9]
The following is a DFT calculation (PBE-GGA) of HfAlTl2 after structural relaxation.

Properties
ΔH_f (0 K) = 0.388 eV/atom
E = -67.51 eV/cell
D(E_F) = 12.2 states/eV per cell
polymorph energy (0 for the lowest one) = 0.0 meV per atom

a b c (Å): 7.910 7.910 6.078
angles (deg): 90.00 90.00 90.00
Space group I-42d (No. 122)
Asymmetric unit:
Hf 0.000 0.000 0.000 (multiplicity 4)
Al 0.000 0.000 0.500 (multiplicity 4)
Tl 0.229 0.250 0.625 (multiplicity 8)

***

[10]
The following is a DFT calculation (PBE-GGA) of AlBO3 after structural relaxation.

Properties
uncorrected formation energy = -0.310 eV per atom
E = -26.84 eV/cell
D(E_F) = 2.7 states/eV per cell

a b c (Å): 3.597 3.597 3.597
angles (deg): 90.00 90.00 90.00
Space group Pm-3m (No. 221)
Asymmetric unit:
Al 0.000 0.000 0.000 (multiplicity 1)
B 0.500 0.500 0.500 (multiplicity 1)
O 0.000 0.000 0.500 (multiplicity 3)